1.
CaRuAu2: relaxed, PBE-GGA.

Summary:
For the relative energy among the computed polymorphs, the calculation gives 88.7 meV per atom. The space group is I-4m2 (119).

Lattice parameters (Å, degrees): 5.290 5.290 5.290 133.87 133.87 67.28
Fractional positions:
Ru 0.750 0.250 0.500
Ca 0.500 0.500 0.000
Au 0.000 0.000 0.000
Au 0.250 0.750 0.500


2.
Ca2RuAu: relaxed, PBE-GGA.

Summary:
As for the total energy: -4.09 eV per atom. The space group is R-3m (166).

Lattice parameters (Å, degrees): 8.833 8.833 8.833 23.15 23.15 23.15
Fractional positions:
Ru 0.250 0.250 0.250
Ca 0.994 0.994 0.994
Ca 0.506 0.506 0.506
Au 0.750 0.750 0.750


3.
CaRuAu: relaxed, PBE-GGA.

Summary:
For the relative energy among the computed polymorphs, the calculation gives 0.0 meV per atom. The space group is P-6m2 (187).

Lattice parameters (Å, degrees): 4.528 4.528 3.547 90.00 90.00 120.00
Fractional positions:
Ru 0.333 0.667 0.833
Ca 0.667 0.333 0.333
Au 0.000 0.000 0.833


4.
CaRuAu2: relaxed, PBE-GGA.

Summary:
For the relative energy among the computed polymorphs, the calculation gives 206.4 meV per atom. The space group is F-43m (216).

Lattice parameters (Å, degrees): 4.747 4.747 4.747 60.00 60.00 60.00
Fractional positions:
Ru 0.750 0.750 0.750
Ca 0.500 0.500 0.500
Au 0.000 0.000 0.000
Au 0.250 0.250 0.250


5.
CaRuAu2: relaxed, PBE-GGA.

Summary:
For the relative energy among the computed polymorphs, the calculation gives 101.9 meV per atom. The space group is Fm-3m (225).

Lattice parameters (Å, degrees): 4.766 4.766 4.766 60.00 60.00 60.00
Fractional positions:
Ru 0.500 0.500 0.500
Ca 0.000 0.000 0.000
Au 0.250 0.250 0.250
Au 0.750 0.750 0.750


6.
Ca2Ru2Au: relaxed, PBE-GGA.

Summary:
As for the total energy: -5.18 eV per atom. The space group is P4/mbm (127).

Lattice parameters (Å, degrees): 6.856 6.856 4.508 90.00 90.00 90.00
Fractional positions:
Ru 0.380 0.880 0.000
Ru 0.880 0.620 0.000
Ru 0.620 0.120 0.000
Ru 0.120 0.380 0.000
Ca 0.180 0.680 0.500
Ca 0.680 0.820 0.500
Ca 0.820 0.320 0.500
Ca 0.320 0.180 0.500
Au 0.000 0.000 0.000
Au 0.500 0.500 0.000


7.
CaRuAu2: relaxed, PBE-GGA.

Summary:
For the relative energy among the computed polymorphs, the calculation gives 399.6 meV per atom. The space group is I-42d (122).

Lattice parameters (Å, degrees): 4.553 4.553 9.608 76.29 76.29 90.00
Fractional positions:
Ru 0.000 0.000 0.000
Ru 0.750 0.250 0.500
Ca 0.500 0.500 0.000
Ca 0.250 0.750 0.500
Au 0.699 0.125 0.250
Au 0.051 0.625 0.250
Au 0.375 0.301 0.750
Au 0.875 0.949 0.750


8.
CaRu3Au: relaxed, PBE-GGA.

Summary:
For the relative energy among the computed polymorphs, the calculation gives 0.0 meV per atom. The space group is Pm-3m (221).

Lattice parameters (Å, degrees): 4.930 4.930 4.930 90.00 90.00 90.00
Fractional positions:
Ru 0.000 0.500 0.000
Ru 0.000 0.000 0.500
Ru 0.500 0.000 0.000
Ca 0.500 0.500 0.500
Au 0.000 0.000 0.000


9.
Ca2RuAu: relaxed, PBE-GGA.

Summary:
As for the total energy: -4.22 eV per atom. The space group is Imm2 (44).

Lattice parameters (Å, degrees): 6.074 6.074 6.074 146.38 133.20 58.85
Fractional positions:
Ru 0.480 0.480 0.000
Ca 0.014 0.014 0.000
Ca 0.727 0.227 0.500
Au 0.279 0.779 0.500


10.
CaRuAu2: relaxed, PBE-GGA.

Summary:
For the relative energy among the computed polymorphs, the calculation gives 446.1 meV per atom. The space group is R-3m (166).

Lattice parameters (Å, degrees): 9.542 9.542 9.542 18.45 18.45 18.45
Fractional positions:
Ru 0.750 0.750 0.750
Ca 0.250 0.250 0.250
Au 0.004 0.004 0.004
Au 0.496 0.496 0.496


11.
CaRuAu2: relaxed, PBE-GGA.

Summary:
For the relative energy among the computed polymorphs, the calculation gives 185.1 meV per atom. The space group is C2/m (12).

Lattice parameters (Å, degrees): 5.231 5.231 5.144 78.65 78.65 33.39
Fractional positions:
Ru 0.250 0.250 0.250
Ca 0.750 0.750 0.750
Au 0.984 0.984 0.020
Au 0.516 0.516 0.480


12.
CaRuAu2: relaxed, PBE-GGA.

Summary:
For the relative energy among the computed polymorphs, the calculation gives 149.6 meV per atom. The space group is P4mm (99).

Lattice parameters (Å, degrees): 3.564 3.564 6.181 90.00 90.00 90.00
Fractional positions:
Ru 0.500 0.500 0.793
Ca 0.000 0.000 0.498
Au 0.000 0.000 0.968
Au 0.500 0.500 0.241